VNi2PtO6 after structural relaxation. Source: the Alexandria database, functional GGA+U.

Unit cell a=5.6330 b=5.6330 c=4.1011 alpha=90.00 beta=90.00 gamma=90.00
Last column: nearest neighbours and their distance in Å.
Fractional coordinates of all 10 atoms:
1 V 0.0000 0.0000 0.0000  1 O 1.65
2 Ni 0.0000 0.5000 0.2355  4 O 2.05
3 Ni 0.5000 0.0000 0.2355  4 O 2.05
4 Pt 0.5000 0.5000 0.0469  6 O 2.03-2.14
5 O 0.0000 0.0000 0.5969  1 V 1.65
6 O 0.2338 0.2338 0.1181  1 V 1.92, 2 Ni 2.05, 1 Pt 2.14
7 O 0.2338 0.7662 0.1181  1 V 1.92, 2 Ni 2.05, 1 Pt 2.14
8 O 0.5000 0.5000 0.5528  2 Pt 2.03-2.07
9 O 0.7662 0.2338 0.1181  1 V 1.92, 2 Ni 2.05, 1 Pt 2.14
10 O 0.7662 0.7662 0.1181  1 V 1.92, 2 Ni 2.05, 1 Pt 2.14

Symmetry = P4mm, No. 99
Total energy = -5.529 eV/atom
Size of the total moment = 5.4 μB per formula unit
N(E_F) = 3.2 states/eV/f.u.